1.
## Tb5Pm2SmDy (GGA-PBE)

Data for a relaxed Tb5Pm2SmDy crystal.

Cell: 8.706 8.706 9.948 Å, 115.95 115.95 90.00°
Fractional coordinates of all 18 atoms:
Sm  0.750  0.750  0.500
Sm  0.250  0.250  0.500
Tb  0.000  0.000  0.000
Tb  0.072  0.572  0.723
Tb  0.500  0.500  0.000
Tb  0.572  0.652  0.723
Tb  0.152  0.072  0.723
Tb  0.428  0.348  0.277
Tb  0.848  0.928  0.277
Tb  0.348  0.848  0.277
Tb  0.652  0.152  0.723
Tb  0.928  0.428  0.277
Dy  0.750  0.250  0.500
Dy  0.250  0.750  0.500
Pm  0.617  0.117  0.000
Pm  0.117  0.383  0.000
Pm  0.383  0.883  0.000
Pm  0.883  0.617  0.000

***

2.
## TbPm4Sm2Dy2 (GGA-PBE)

Data for a relaxed TbPm4Sm2Dy2 crystal.

Cell: 5.111 8.083 8.060 Å, 107.55 90.00 108.43°
Fractional coordinates of all 9 atoms:
Dy  0.333  0.666  0.000
Dy  0.667  0.334  0.000
Pm  0.222  0.444  0.331
Pm  0.555  0.110  0.331
Pm  0.778  0.556  0.669
Pm  0.445  0.890  0.669
Sm  0.111  0.223  0.669
Sm  0.889  0.777  0.331
Tb  0.000  0.000  0.000

***

3.
## TbPm2SmDy2 (GGA-PBE)

Data for a relaxed TbPm2SmDy2 crystal.

Cell: 3.400 6.617 18.007 Å, 90.00 90.00 90.00°
Fractional coordinates of all 12 atoms:
Tb  0.500  0.500  0.500
Tb  0.000  0.000  0.000
Pm  0.000  0.772  0.185
Pm  0.500  0.272  0.315
Pm  0.000  0.228  0.815
Pm  0.500  0.728  0.685
Dy  0.500  0.773  0.353
Dy  0.000  0.273  0.147
Dy  0.000  0.727  0.853
Dy  0.500  0.227  0.647
Sm  0.000  0.000  0.500
Sm  0.500  0.500  0.000

***

4.
## Tb2PmSm5Dy (GGA-PBE)

Data for a relaxed Tb2PmSm5Dy crystal.

Cell: 5.657 10.516 10.691 Å, 90.00 90.00 105.60°
Fractional coordinates of all 18 atoms:
Sm  0.298  0.597  0.705
Sm  0.521  0.042  0.241
Sm  0.281  0.562  0.308
Sm  0.479  0.958  0.741
Sm  0.702  0.403  0.205
Sm  0.017  0.034  0.023
Sm  0.983  0.966  0.523
Sm  0.608  0.216  0.525
Sm  0.392  0.784  0.025
Sm  0.719  0.438  0.808
Pm  0.201  0.402  0.010
Pm  0.799  0.598  0.510
Dy  0.588  0.177  0.957
Dy  0.412  0.823  0.457
Tb  0.111  0.221  0.736
Tb  0.884  0.768  0.819
Tb  0.889  0.779  0.236
Tb  0.116  0.232  0.319

***

5.
## Tb2Pm2SmDy2 (GGA-PBE)

Data for a relaxed Tb2Pm2SmDy2 crystal.

Cell: 5.075 6.213 8.035 Å, 97.43 90.00 114.10°
Fractional coordinates of all 7 atoms:
Pm  0.143  0.285  0.428
Pm  0.857  0.715  0.572
Sm  0.000  0.000  0.000
Dy  0.715  0.430  0.141
Dy  0.285  0.570  0.859
Tb  0.429  0.857  0.284
Tb  0.571  0.143  0.716

***

6.
## Tb2PmSmDy4 (GGA-PBE)

Data for a relaxed Tb2PmSmDy4 crystal.

Cell: 9.513 9.513 11.804 Å, 128.34 128.34 88.48°
Site moments in Bohr magnetons follow the coordinates.
Fractional coordinates of all 16 atoms:
Tb  0.500  0.000  0.000  0.31
Tb  0.000  0.000  0.500  0.34
Tb  0.500  0.000  0.500  0.31
Tb  0.500  0.500  0.000  0.34
Dy  0.251  0.249  0.999  0.33
Dy  0.749  0.751  0.499  0.33
Dy  0.251  0.249  0.501  0.33
Dy  0.253  0.749  0.001  0.33
Dy  0.249  0.753  0.501  0.33
Dy  0.749  0.751  0.001  0.33
Dy  0.751  0.247  0.499  0.33
Dy  0.747  0.251  0.999  0.33
Pm  0.000  0.500  0.500  0.28
Pm  0.000  0.500  0.000  0.28
Sm  0.500  0.500  0.500  0.26
Sm  0.000  0.000  0.000  0.26

***

7.
## Tb2Pm6SmDy (GGA-PBE)

Data for a relaxed Tb2Pm6SmDy crystal.

Cell: 9.683 8.932 8.932 Å, 117.78 93.87 93.87°
Fractional coordinates of all 20 atoms:
Tb  0.954  0.700  0.800
Tb  0.046  0.300  0.200
Tb  0.546  0.200  0.300
Tb  0.454  0.800  0.700
Dy  0.250  0.410  0.590
Dy  0.750  0.590  0.410
Pm  0.686  0.013  0.566
Pm  0.186  0.566  0.013
Pm  0.945  0.882  0.243
Pm  0.381  0.509  0.292
Pm  0.055  0.118  0.757
Pm  0.445  0.243  0.882
Pm  0.119  0.708  0.491
Pm  0.881  0.292  0.509
Pm  0.555  0.757  0.118
Pm  0.814  0.434  0.987
Pm  0.619  0.491  0.708
Pm  0.314  0.987  0.434
Sm  0.250  0.974  0.026
Sm  0.750  0.026  0.974

***

8.
## TbPm6Sm2Dy (GGA-PBE)

Data for a relaxed TbPm6Sm2Dy crystal.

Cell: 9.757 8.943 8.943 Å, 118.11 94.18 94.18°
Fractional coordinates of all 20 atoms:
Pm  0.619  0.496  0.708
Pm  0.445  0.245  0.879
Pm  0.881  0.292  0.504
Pm  0.381  0.504  0.292
Pm  0.555  0.755  0.121
Pm  0.945  0.879  0.245
Pm  0.188  0.571  0.016
Pm  0.812  0.429  0.984
Pm  0.312  0.984  0.429
Pm  0.688  0.016  0.571
Pm  0.119  0.708  0.496
Pm  0.055  0.121  0.755
Sm  0.043  0.298  0.197
Sm  0.957  0.702  0.803
Sm  0.457  0.803  0.702
Sm  0.543  0.197  0.298
Dy  0.750  0.591  0.409
Dy  0.250  0.409  0.591
Tb  0.750  0.023  0.977
Tb  0.250  0.977  0.023

***

Number 1: calculated total energy -79.08 eV/cell, formation energy 0.271 eV/atom. Number 2: calculated total energy -42.13 eV/cell, formation energy 0.017 eV/atom. Number 3: calculated total energy -52.95 eV/cell, formation energy 0.263 eV/atom. Number 4: calculated total energy -81.79 eV/cell, formation energy 0.146 eV/atom. Number 5: calculated total energy -32.58 eV/cell, formation energy 0.015 eV/atom. Number 6: calculated total energy -67.45 eV/cell, formation energy 0.427 eV/atom. Number 7: calculated total energy -91.86 eV/cell, formation energy 0.116 eV/atom. Number 8: calculated total energy -92.04 eV/cell, formation energy 0.116 eV/atom.